This record from Alexandria describes a geometry-optimized BAsIrBr2 structure. The functional is PBE-GGA.

**Formation energy (no corrections)**: 1.381 eV per atom
**ΔE to the lowest computed polymorph**: 0.211 eV per atom
**Total magnetic moment**: 0.9 Bohr magnetons per cell

```
data_BAsIrBr2
_space_group_name_H-M_alt 'P 4/m m m'
_space_group_IT_number 123
_space_group_name_Hall '-P 4 2'
_cell_length_a 4.4491
_cell_length_b 4.4491
_cell_length_c 4.5138
_cell_angle_alpha 90.00
_cell_angle_beta 90.00
_cell_angle_gamma 90.00
loop_
_atom_site_label
_atom_site_type_symbol
_atom_site_fract_x
_atom_site_fract_y
_atom_site_fract_z
B1 B 0.0000 0.0000 0.0000
As1 As 0.0000 0.0000 0.5000
Ir1 Ir 0.5000 0.5000 0.5000
Br1 Br 0.0000 0.5000 0.0000
```